No. 1
## LiPb2W (GGA-PBEsol)

Data for a relaxed structure of LiPb2W.

Geometry as POSCAR:
```
LiPb2W
1.0
-0.470 -0.300 2.965
4.107 -2.801 0.368
2.739 4.899 -0.604
W Li Pb
1 1 2
direct
0.495 0.522 0.989
0.762 0.235 0.524
0.003 0.037 0.006
0.240 0.706 0.481
```

- relative energy among the computed polymorphs (meV per atom) = 58
- calculated formation energy (eV/atom) = 0.5808
- symmetry = Cm, No. 8
- energy (eV for the cell shown) = -21.4

---

No. 2
## LiPb2W (GGA-PBEsol)

Data for a relaxed structure of LiPb2W.

Geometry as POSCAR:
```
LiPb2W
1.0
-3.086 -0.140 0.777
1.141 -0.342 4.468
-0.140 5.693 0.472
Pb Li W
2 1 1
direct
0.000 0.000 0.000
0.500 0.000 0.500
0.000 0.500 0.500
0.500 0.500 0.000
```

- relative energy among the computed polymorphs (meV per atom) = 218
- calculated formation energy (eV/atom) = 0.7410
- symmetry = Pmmm, No. 47
- energy (eV for the cell shown) = -20.8

---

No. 3
## LiPb2W (GGA-PBEsol)

Data for a relaxed structure of LiPb2W.

Geometry as POSCAR:
```
LiPb2W
1.0
3.516 0.000 0.000
0.000 3.516 0.000
0.000 0.000 6.449
Li W Pb
1 1 2
direct
0.500 0.500 0.500
0.500 0.500 0.000
0.000 0.000 0.245
0.000 0.000 0.755
```

- relative energy among the computed polymorphs (meV per atom) = 0
- calculated formation energy (eV/atom) = 0.5227
- symmetry = P4/mmm, No. 123
- energy (eV for the cell shown) = -21.7

---

No. 4
## LiPbW3 (GGA-PBEsol)

Data for a relaxed structure of LiPbW3.

Geometry as POSCAR:
```
LiPbW3
1.0
-1.905 3.767 0.890
-3.400 -1.154 -2.392
-1.850 -1.757 3.478
W Li Pb
3 1 1
direct
0.000 0.500 0.000
0.000 0.000 0.500
0.500 0.000 0.000
0.000 0.000 0.000
0.500 0.500 0.500
```

- calculated formation energy (eV/atom) = 1.6841
- symmetry = Pm-3m, No. 221
- energy (eV for the cell shown) = -39.0

---

No. 5
## LiYPb2 (GGA-PBEsol)

Data for a relaxed structure of LiYPb2.

Geometry as POSCAR:
```
LiYPb2
1.0
-0.864 0.269 3.235
1.794 -3.833 0.798
5.970 3.074 1.339
Li Pb Y
1 2 1
direct
0.500 0.500 0.500
0.000 0.000 0.268
0.000 0.000 0.732
0.500 0.500 0.000
```

- calculated formation energy (eV/atom) = -0.3975
- symmetry = Pmmm, No. 47
- energy (eV for the cell shown) = -18.4

---

No. 6
## LiYPb2 (GGA-PBEsol)

Data for a relaxed structure of LiYPb2.

Geometry as POSCAR:
```
LiYPb2
1.0
4.750 0.000 0.000
0.000 4.750 0.000
-2.375 -2.375 4.439
Li Pb Y
1 2 1
direct
0.000 0.000 0.000
0.250 0.750 0.500
0.750 0.250 0.500
0.500 0.500 0.000
```

- calculated formation energy (eV/atom) = -0.3984
- symmetry = I4/mmm, No. 139
- energy (eV for the cell shown) = -18.4

---

No. 7
## LiYPb2 (GGA-PBEsol)

Data for a relaxed structure of LiYPb2.

Geometry as POSCAR:
```
LiYPb2
1.0
3.587 0.000 0.000
0.000 5.199 -0.070
-1.794 -1.839 5.562
Y Pb Li
1 2 1
direct
0.491 0.420 0.982
0.747 0.331 0.495
0.006 0.928 0.013
0.255 0.820 0.511
```

- calculated formation energy (eV/atom) = -0.3666
- symmetry = Cm, No. 8
- energy (eV for the cell shown) = -18.3

---

No. 8
## LiYPb2 (GGA-PBEsol)

Data for a relaxed structure of LiYPb2.

Geometry as POSCAR:
```
LiYPb2
1.0
3.619 0.000 0.000
0.000 5.294 0.000
0.000 0.000 5.294
Y Pb Li
1 2 1
direct
0.000 0.500 0.500
0.500 0.500 0.000
0.500 0.000 0.500
0.000 0.000 0.000
```

- calculated formation energy (eV/atom) = -0.4197
- symmetry = P4/mmm, No. 123
- energy (eV for the cell shown) = -18.5

---

No. 9
## LiYPb2 (GGA-PBEsol)

Data for a relaxed structure of LiYPb2.

Geometry as POSCAR:
```
LiYPb2
1.0
-1.303 -3.935 1.472
-0.404 -1.417 -4.145
5.802 1.063 1.405
Y Li Pb
1 1 2
direct
0.500 0.500 0.000
0.250 0.750 0.500
0.750 0.250 0.500
0.000 0.000 0.000
```

- calculated formation energy (eV/atom) = -0.3587
- symmetry = I-4m2, No. 119
- energy (eV for the cell shown) = -18.2

---

No. 10
## LiYPb3 (GGA-PBEsol)

Data for a relaxed structure of LiYPb3.

Geometry as POSCAR:
```
LiYPb3
1.0
5.810 0.000 0.000
0.000 5.810 0.000
0.000 0.000 5.810
Pb Li Y
3 1 1
direct
0.000 0.500 0.000
0.500 0.000 0.000
0.000 0.000 0.500
0.500 0.500 0.500
0.000 0.000 0.000
```

- calculated formation energy (eV/atom) = 0.3418
- symmetry = Pm-3m, No. 221
- energy (eV for the cell shown) = -19.1

---

No. 11
## LiZnPb2 (GGA-PBEsol)

Data for a relaxed structure of LiZnPb2.

Geometry as POSCAR:
```
LiZnPb2
1.0
-1.010 -1.934 -2.687
2.021 -2.847 3.518
-5.502 0.292 1.858
Pb Zn Li
2 1 1
direct
0.756 0.512 0.755
0.244 0.488 0.245
0.500 0.000 0.000
0.000 0.000 0.500
```

- calculated formation energy (eV/atom) = -0.0191
- symmetry = C2/m, No. 12
- energy (eV for the cell shown) = -11.6

---

No. 12
## LiZn3Pb (GGA-PBEsol)

Data for a relaxed structure of LiZn3Pb.

Geometry as POSCAR:
```
LiZn3Pb
1.0
-1.452 3.993 -3.166
-4.919 -1.958 -0.212
-1.330 2.881 4.244
Zn Li Pb
3 1 1
direct
0.000 0.000 0.500
0.000 0.500 0.000
0.500 0.000 0.000
0.500 0.500 0.500
0.000 0.000 0.000
```

- calculated formation energy (eV/atom) = 0.6319
- symmetry = Pm-3m, No. 221
- energy (eV for the cell shown) = -7.6

---

No. 13
## LiZnPb2 (GGA-PBEsol)

Data for a relaxed structure of LiZnPb2.

Geometry as POSCAR:
```
LiZnPb2
1.0
3.655 0.000 0.000
0.000 4.839 0.000
-1.827 -2.419 5.148
Zn Li Pb
1 1 2
direct
0.517 0.517 0.033
0.228 0.728 0.457
0.990 0.990 0.981
0.764 0.264 0.529
```

- calculated formation energy (eV/atom) = -0.0303
- symmetry = Imm2, No. 44
- energy (eV for the cell shown) = -11.7

---

No. 14
## Li2Zn2Pb (GGA-PBEsol)

Data for a relaxed structure of Li2Zn2Pb.

Geometry as POSCAR:
```
Li2Zn2Pb
1.0
3.295 0.000 0.000
0.000 7.361 0.000
0.000 0.000 7.361
Zn Li Pb
4 4 2
direct
0.000 0.620 0.120
0.000 0.880 0.620
0.000 0.120 0.380
0.000 0.380 0.880
0.500 0.671 0.829
0.500 0.171 0.671
0.500 0.829 0.329
0.500 0.329 0.171
0.000 0.500 0.500
0.000 0.000 0.000
```

- calculated formation energy (eV/atom) = -0.1190
- symmetry = P4/mbm, No. 127
- energy (eV for the cell shown) = -23.4

---

No. 15
## LiZnPb2 (GGA-PBEsol)

Data for a relaxed structure of LiZnPb2.

Geometry as POSCAR:
```
LiZnPb2
1.0
-2.936 -1.510 0.673
1.535 -1.983 2.250
-1.430 5.295 5.641
Li Pb Zn
1 2 1
direct
0.500 0.500 0.709
0.500 0.500 0.299
0.000 0.000 0.945
0.000 0.000 0.547
```

- calculated formation energy (eV/atom) = -0.0477
- symmetry = P4mm, No. 99
- energy (eV for the cell shown) = -11.7

---

No. 16
## LiZnPb2 (GGA-PBEsol)

Data for a relaxed structure of LiZnPb2.

Geometry as POSCAR:
```
LiZnPb2
1.0
3.571 0.000 0.000
0.000 4.602 0.000
-1.785 0.000 5.438
Pb Li Zn
2 1 1
direct
0.967 0.000 0.934
0.272 0.500 0.545
0.546 0.500 0.091
0.692 0.000 0.384
```

- calculated formation energy (eV/atom) = -0.0546
- symmetry = Amm2, No. 38
- energy (eV for the cell shown) = -11.8

---

No. 17
## LiZnPb2 (GGA-PBEsol)

Data for a relaxed structure of LiZnPb2.

Geometry as POSCAR:
```
LiZnPb2
1.0
-0.064 -1.118 3.515
-0.790 -3.429 -1.105
6.480 -1.388 -0.324
Pb Zn Li
2 1 1
direct
0.000 0.000 0.757
0.000 0.000 0.243
0.500 0.500 0.000
0.500 0.500 0.500
```

- calculated formation energy (eV/atom) = -0.0464
- symmetry = P4/mmm, No. 123
- energy (eV for the cell shown) = -11.7

---

No. 18
## LiZn4Pb (GGA-PBEsol)

Data for a relaxed structure of LiZn4Pb.

Geometry as POSCAR:
```
LiZn4Pb
1.0
5.284 0.000 0.000
2.642 4.576 0.000
2.642 1.525 4.314
Zn Pb Li
4 1 1
direct
0.376 0.871 0.376
0.376 0.376 0.871
0.376 0.376 0.376
0.871 0.376 0.376
0.000 0.000 0.000
0.750 0.750 0.750
```

- calculated formation energy (eV/atom) = -0.0352
- symmetry = F-43m, No. 216
- energy (eV for the cell shown) = -12.5

---

No. 19
## LiZn2Pb2 (GGA-PBEsol)

Data for a relaxed structure of LiZn2Pb2.

Geometry as POSCAR:
```
LiZn2Pb2
1.0
-1.568 2.863 1.588
-3.008 -0.564 -1.952
-0.699 -6.138 6.227
Li Pb Zn
1 2 2
direct
0.000 0.000 0.000
0.389 0.389 0.778
0.611 0.611 0.222
0.750 0.250 0.500
0.250 0.750 0.500
```

- calculated formation energy (eV/atom) = 0.0055
- symmetry = I4/mmm, No. 139
- energy (eV for the cell shown) = -13.1

---

No. 20
## LiZn2Pb (GGA-PBEsol)

Data for a relaxed structure of LiZn2Pb.

Geometry as POSCAR:
```
LiZn2Pb
1.0
-1.830 0.091 -2.663
-3.881 -0.953 2.634
-0.411 4.811 1.135
Zn Pb Li
2 1 1
direct
0.204 0.000 0.294
0.796 0.000 0.706
0.000 0.500 0.000
0.500 0.500 0.500
```

- calculated formation energy (eV/atom) = 0.0139
- symmetry = P2/m, No. 10
- energy (eV for the cell shown) = -9.1